Record 1
Entry from the Alexandria database: an optimized crystal structure of Zn4Ru (GGA-PBE).

a = 6.833 Å, b = 6.833 Å, c = 6.833 Å
α = 150.90°, β = 150.90°, γ = 41.61°
Fractional positions:
Zn (0.094, 0.094, 0.000)
Zn (0.250, 0.750, 0.500)
Zn (0.750, 0.250, 0.500)
Zn (0.906, 0.906, 0.000)
Ru (0.500, 0.500, 0.000)

Output
Formation energy from the elements = 0.250 eV per atom
SG = No. 139
VASP energy = -2.625 eV per atom
Offset from the most stable computed form = 308 meV per atom

***

Record 2
Entry from the Alexandria database: an optimized crystal structure of LaCd3Hg (GGA-PBE).

a = 6.336 Å, b = 6.657 Å, c = 6.853 Å
α = 90.00°, β = 114.60°, γ = 90.00°
Fractional positions:
La (0.247, 0.250, 0.302)
La (0.753, 0.750, 0.698)
Cd (0.265, 0.030, 0.814)
Cd (0.265, 0.470, 0.814)
Cd (0.310, 0.750, 0.143)
Cd (0.690, 0.250, 0.857)
Cd (0.735, 0.530, 0.186)
Cd (0.735, 0.970, 0.186)
Hg (0.162, 0.750, 0.469)
Hg (0.838, 0.250, 0.531)

Output
Formation energy from the elements = -0.257 eV per atom
SG = No. 11
VASP energy = -1.852 eV per atom
Offset from the most stable computed form = 0 meV per atom

***

Record 3
Entry from the Alexandria database: an optimized crystal structure of NaNd2Sn (GGA-PBE).

a = 12.662 Å, b = 12.662 Å, c = 12.662 Å
α = 16.06°, β = 16.06°, γ = 16.06°
Fractional positions:
Na (0.000, 0.000, 0.000)
Nd (0.096, 0.096, 0.096)
Nd (0.904, 0.904, 0.904)
Sn (0.500, 0.500, 0.500)

Output
Formation energy from the elements = -0.046 eV per atom
SG = No. 166
VASP energy = -3.761 eV per atom

***

Record 4
Entry from the Alexandria database: an optimized crystal structure of TbZr2CoN4 (GGA-PBE).

a = 5.725 Å, b = 5.725 Å, c = 11.080 Å
α = 90.00°, β = 90.00°, γ = 147.30°
Fractional positions:
Tb (0.110, 0.890, 0.750)
Tb (0.890, 0.110, 0.250)
Zr (0.368, 0.632, 0.554)
Zr (0.368, 0.632, 0.946)
Zr (0.632, 0.368, 0.054)
Zr (0.632, 0.368, 0.446)
Co (0.153, 0.847, 0.250)
Co (0.847, 0.153, 0.750)
N (0.000, 0.000, 0.000)
N (0.000, 0.000, 0.500)
N (0.270, 0.730, 0.118)
N (0.270, 0.730, 0.382)
N (0.446, 0.554, 0.750)
N (0.554, 0.446, 0.250)
N (0.730, 0.270, 0.618)
N (0.730, 0.270, 0.882)

Output
SG = No. 63
VASP energy = -9.037 eV per atom
ΔE_f (raw) = -1271 meV per atom